i:
A relaxed Er3NiIr crystal, computed with PBE.

Summary:
DOS at the Fermi energy = 0.9043 states/eV per atom

The structure in CIF format:
```
data_Er3NiIr
_cell_length_a 4.103
_cell_length_b 8.782
_cell_length_c 6.191
_cell_angle_alpha 90.00
_cell_angle_beta 90.00
_cell_angle_gamma 90.00
_symmetry_space_group_name_H-M 'P m m n'
_symmetry_Int_Tables_number 59
loop_
_symmetry_equiv_pos_as_xyz
'x,y,z'
'-x,-y,-z'
'-x+1/2,-y+1/2,z'
'x+1/2,y+1/2,-z'
'x+1/2,-y,-z'
'-x+1/2,y,z'
'-x,y+1/2,-z'
'x,-y+1/2,z'
loop_
_atom_site_label
_atom_site_fract_x
_atom_site_fract_y
_atom_site_fract_z
Er1 0.250 0.055 0.233
Er2 0.250 0.250 0.725
Ni1 0.250 0.750 0.562
Ir1 0.250 0.750 0.972
```

---

ii:
A relaxed Er3NiIr crystal, computed with PBE.

Summary:
DOS at the Fermi energy = 0.4573 states/eV per atom

The structure in CIF format:
```
data_Er3NiIr
_cell_length_a 3.935
_cell_length_b 6.751
_cell_length_c 8.684
_cell_angle_alpha 90.00
_cell_angle_beta 90.00
_cell_angle_gamma 90.00
_symmetry_space_group_name_H-M 'P m m n'
_symmetry_Int_Tables_number 59
loop_
_symmetry_equiv_pos_as_xyz
'x,y,z'
'-x,-y,-z'
'-x+1/2,-y+1/2,z'
'x+1/2,y+1/2,-z'
'x+1/2,-y,-z'
'-x+1/2,y,z'
'-x,y+1/2,-z'
'x,-y+1/2,z'
loop_
_atom_site_label
_atom_site_fract_x
_atom_site_fract_y
_atom_site_fract_z
Er1 0.250 0.013 0.170
Er2 0.250 0.250 0.550
Ni1 0.250 0.250 0.898
Ir1 0.250 0.750 0.670
```

---

Stability, highest: i

---

i:
A relaxed PmErNiIr crystal, computed with PBE.

Summary:
DOS at the Fermi energy = 0.5929 states/eV per atom

The structure in CIF format:
```
data_PmErNiIr
_cell_length_a 4.093
_cell_length_b 3.898
_cell_length_c 10.733
_cell_angle_alpha 90.00
_cell_angle_beta 90.00
_cell_angle_gamma 90.00
_symmetry_space_group_name_H-M 'A m m 2'
_symmetry_Int_Tables_number 38
loop_
_symmetry_equiv_pos_as_xyz
'x,y,z'
'-x,-y,z'
'-x,y,z'
'x,-y,z'
'x,y+1/2,z+1/2'
'-x,-y+1/2,z+1/2'
'-x,y+1/2,z+1/2'
'x,-y+1/2,z+1/2'
loop_
_atom_site_label
_atom_site_fract_x
_atom_site_fract_y
_atom_site_fract_z
Pm1 0.000 0.000 0.000
Er1 0.500 0.000 0.716
Ni1 0.500 0.000 0.428
Ir1 0.000 0.000 0.277
```

---

ii:
A relaxed PmErNiIr crystal, computed with PBE.

Summary:
DOS at the Fermi energy = 0.6728 states/eV per atom

The structure in CIF format:
```
data_PmErNiIr
_cell_length_a 6.884
_cell_length_b 6.884
_cell_length_c 6.884
_cell_angle_alpha 90.00
_cell_angle_beta 90.00
_cell_angle_gamma 90.00
_symmetry_space_group_name_H-M 'F -4 3 m'
_symmetry_Int_Tables_number 216
_symmetry_space_group_name_Hall 'F -4 2 3'
loop_
_atom_site_label
_atom_site_fract_x
_atom_site_fract_y
_atom_site_fract_z
Pm1 0.000 0.000 0.000
Er1 0.000 0.000 0.500
Ni1 0.250 0.250 0.750
Ir1 0.250 0.250 0.250
```

---

Stability, highest: i

---

i:
A relaxed Er2PaIr3 crystal, computed with PBE.

Summary:
DOS at the Fermi energy = 0.6261 states/eV per atom

The structure in CIF format:
```
data_Er2PaIr3
_cell_length_a 4.8470
_cell_length_b 4.8470
_cell_length_c 5.9975
_cell_angle_alpha 90.00
_cell_angle_beta 90.00
_cell_angle_gamma 120.00
_symmetry_space_group_name_H-M 'P -3 m 1'
_symmetry_Int_Tables_number 164
_symmetry_space_group_name_Hall '-P 3 2"'
loop_
_atom_site_label
_atom_site_fract_x
_atom_site_fract_y
_atom_site_fract_z
Er1 0.3333 0.6667 0.1533
Pa1 0.0000 0.0000 0.5000
Ir1 0.0000 0.0000 0.0000
Ir2 0.3333 0.6667 0.6328
```

---

ii:
A relaxed Er2PaIr3 crystal, computed with PBE.

Summary:
DOS at the Fermi energy = 0.5624 states/eV per atom

The structure in CIF format:
```
data_Er2PaIr3
_cell_length_a 13.864
_cell_length_b 5.556
_cell_length_c 6.729
_cell_angle_alpha 90.00
_cell_angle_beta 103.07
_cell_angle_gamma 90.00
_symmetry_space_group_name_H-M 'C 1 2/c 1'
_symmetry_Int_Tables_number 15
loop_
_symmetry_equiv_pos_as_xyz
'x,y,z'
'-x,-y,-z'
'-x,y,-z+1/2'
'x,-y,z+1/2'
'x+1/2,y+1/2,z'
'-x+1/2,-y+1/2,-z'
'-x+1/2,y+1/2,-z+1/2'
'x+1/2,-y+1/2,z+1/2'
loop_
_atom_site_label
_atom_site_fract_x
_atom_site_fract_y
_atom_site_fract_z
Er1 0.180 0.101 0.141
Pa1 0.000 0.369 0.750
Ir1 0.000 0.106 0.250
Ir2 0.151 0.399 0.509
```

---

Stability, highest: i

---

i:
A relaxed ErPaIrPt crystal, computed with PBE.

Summary:
DOS at the Fermi energy = 1.5066 states/eV per atom

The structure in CIF format:
```
data_ErPaIrPt
_cell_length_a 6.943
_cell_length_b 6.943
_cell_length_c 6.943
_cell_angle_alpha 90.00
_cell_angle_beta 90.00
_cell_angle_gamma 90.00
_symmetry_space_group_name_H-M 'F -4 3 m'
_symmetry_Int_Tables_number 216
_symmetry_space_group_name_Hall 'F -4 2 3'
loop_
_atom_site_label
_atom_site_fract_x
_atom_site_fract_y
_atom_site_fract_z
Er1 0.000 0.000 0.000
Pa1 0.000 0.000 0.500
Ir1 0.250 0.250 0.250
Pt1 0.250 0.250 0.750
```

---

ii:
A relaxed ErPaIrPt crystal, computed with PBE.

Summary:
DOS at the Fermi energy = 0.8763 states/eV per atom

The structure in CIF format:
```
data_ErPaIrPt
_cell_length_a 4.178
_cell_length_b 3.723
_cell_length_c 11.146
_cell_angle_alpha 90.00
_cell_angle_beta 90.00
_cell_angle_gamma 90.00
_symmetry_space_group_name_H-M 'A m m 2'
_symmetry_Int_Tables_number 38
loop_
_symmetry_equiv_pos_as_xyz
'x,y,z'
'-x,-y,z'
'-x,y,z'
'x,-y,z'
'x,y+1/2,z+1/2'
'-x,-y+1/2,z+1/2'
'-x,y+1/2,z+1/2'
'x,-y+1/2,z+1/2'
loop_
_atom_site_label
_atom_site_fract_x
_atom_site_fract_y
_atom_site_fract_z
Er1 0.000 0.000 0.000
Pa1 0.500 0.000 0.277
Ir1 0.000 0.000 0.744
Pt1 0.500 0.000 0.554
```

---

Stability, highest: ii

---

i:
A relaxed ErPaIrRh crystal, computed with PBE.

Summary:
DOS at the Fermi energy = 0.8478 states/eV per atom

The structure in CIF format:
```
data_ErPaIrRh
_cell_length_a 4.231
_cell_length_b 3.765
_cell_length_c 10.502
_cell_angle_alpha 90.00
_cell_angle_beta 90.00
_cell_angle_gamma 90.00
_symmetry_space_group_name_H-M 'A m m 2'
_symmetry_Int_Tables_number 38
loop_
_symmetry_equiv_pos_as_xyz
'x,y,z'
'-x,-y,z'
'-x,y,z'
'x,-y,z'
'x,y+1/2,z+1/2'
'-x,-y+1/2,z+1/2'
'-x,y+1/2,z+1/2'
'x,-y+1/2,z+1/2'
loop_
_atom_site_label
_atom_site_fract_x
_atom_site_fract_y
_atom_site_fract_z
Er1 0.000 0.000 0.000
Pa1 0.500 0.000 0.720
Ir1 0.000 0.000 0.270
Rh1 0.500 0.000 0.462
```

---

ii:
A relaxed ErPaIrRh crystal, computed with PBE.

Summary:
DOS at the Fermi energy = 1.3887 states/eV per atom

The structure in CIF format:
```
data_ErPaIrRh
_cell_length_a 6.876
_cell_length_b 6.876
_cell_length_c 6.876
_cell_angle_alpha 90.00
_cell_angle_beta 90.00
_cell_angle_gamma 90.00
_symmetry_space_group_name_H-M 'F -4 3 m'
_symmetry_Int_Tables_number 216
_symmetry_space_group_name_Hall 'F -4 2 3'
loop_
_atom_site_label
_atom_site_fract_x
_atom_site_fract_y
_atom_site_fract_z
Er1 0.000 0.000 0.000
Pa1 0.000 0.000 0.500
Ir1 0.250 0.250 0.250
Rh1 0.250 0.250 0.750
```

---

Stability, highest: i

---

i:
A relaxed Er4IrPb2 crystal, computed with PBE.

Summary:
DOS at the Fermi energy = 0.6815 states/eV per atom

The structure in CIF format:
```
data_Er4IrPb2
_cell_length_a 11.473
_cell_length_b 4.536
_cell_length_c 8.689
_cell_angle_alpha 90.00
_cell_angle_beta 121.73
_cell_angle_gamma 90.00
_symmetry_space_group_name_H-M 'C 1 2/m 1'
_symmetry_Int_Tables_number 12
loop_
_symmetry_equiv_pos_as_xyz
'x,y,z'
'-x,-y,-z'
'-x,y,-z'
'x,-y,z'
'x+1/2,y+1/2,z'
'-x+1/2,-y+1/2,-z'
'-x+1/2,y+1/2,-z'
'x+1/2,-y+1/2,z'
loop_
_atom_site_label
_atom_site_fract_x
_atom_site_fract_y
_atom_site_fract_z
Er1 0.066 0.000 0.348
Er2 0.165 0.500 0.058
Ir1 0.000 0.000 0.000
Pb1 0.156 0.500 0.665
```

---

ii:
A relaxed Er4IrPb2 crystal, computed with PBE.

Summary:
DOS at the Fermi energy = 0.7822 states/eV per atom

The structure in CIF format:
```
data_Er4IrPb2
_cell_length_a 7.254
_cell_length_b 6.508
_cell_length_c 8.575
_cell_angle_alpha 90.00
_cell_angle_beta 106.71
_cell_angle_gamma 90.00
_symmetry_space_group_name_H-M 'P 1 21/m 1'
_symmetry_Int_Tables_number 11
loop_
_symmetry_equiv_pos_as_xyz
'x,y,z'
'-x,-y,-z'
'-x,y+1/2,-z'
'x,-y+1/2,z'
loop_
_atom_site_label
_atom_site_fract_x
_atom_site_fract_y
_atom_site_fract_z
Er1 0.133 0.004 0.287
Er2 0.280 0.750 0.658
Er3 0.313 0.250 0.907
Ir1 0.082 0.250 0.580
Pb1 0.208 0.750 0.992
Pb2 0.466 0.250 0.578
```

---

Stability, highest: i